[1]
Here is a relaxed Cr3FeRe crystal from Alexandria. Energies are from PBE-GGA.

The magnetization is 0.0000 μB per atom. The formation energy is 1.251 eV per atom. The value obtained for the density is 9.48 g/cm3.

The structure belongs to space group Pm-3m (No. 221); the cell edges are 4.115, 4.115 and 4.115 Å and the angles 90.00°, 90.00° and 90.00°. The asymmetric unit holds Cr at (0.000, 0.000, 0.500), Fe at (0.000, 0.000, 0.000) and Re at (0.500, 0.500, 0.500).

[2]
Here is a relaxed NbAlOsRh2 crystal from Alexandria. Energies are from PBE-GGA.

The magnetization is 0.0000 μB per atom. The formation energy is 1.306 eV per atom. The value obtained for the density is 8.17 g/cm3.

The structure belongs to space group P4/mmm (No. 123); the cell edges are 4.686, 4.686 and 4.773 Å and the angles 90.00°, 90.00° and 90.00°. The asymmetric unit holds Nb at (0.000, 0.000, 0.000), Al at (0.500, 0.500, 0.500), Os at (0.000, 0.000, 0.500) and Rh at (0.000, 0.500, 0.000).

[3]
Here is a relaxed BaMoOs3 crystal from Alexandria. Energies are from PBE-GGA.

The magnetization is 0.3715 μB per atom. The formation energy is 4.068 eV per atom. The value obtained for the density is 11.44 g/cm3.

The structure belongs to space group Pm-3m (No. 221); the cell edges are 4.886, 4.886 and 4.886 Å and the angles 90.00°, 90.00° and 90.00°. The asymmetric unit holds Ba at (0.000, 0.000, 0.000), Mo at (0.500, 0.500, 0.500) and Os at (0.000, 0.000, 0.500).

[4]
Here is a relaxed Na3LiPa3O8 crystal from Alexandria. Energies are from PBE-GGA.

The magnetization is 0.2016 μB per atom. The calculation puts the total energy at -7.5290 eV/atom. The value obtained for the density is 6.43 g/cm3.

The structure belongs to space group R-3m (No. 166, hexagonal axes); the cell edges are 6.9086, 6.9086 and 16.8232 Å and the angles 90.00°, 90.00° and 120.00°. The asymmetric unit holds Na at (0.0000, 0.5000, 0.0000), Li at (0.0000, 0.0000, 0.5000), Pa at (0.0000, 0.5000, 0.5000), O at (0.0000, 0.0000, 0.2437) and O at (0.0092, 0.5046, 0.7680).

Copy entry 1 word for word.
Here is a relaxed Cr3FeRe crystal from Alexandria. Energies are from PBE-GGA.

The magnetization is 0.0000 μB per atom. The formation energy is 1.251 eV per atom. The value obtained for the density is 9.48 g/cm3.

The structure belongs to space group Pm-3m (No. 221); the cell edges are 4.115, 4.115 and 4.115 Å and the angles 90.00°, 90.00° and 90.00°. The asymmetric unit holds Cr at (0.000, 0.000, 0.500), Fe at (0.000, 0.000, 0.000) and Re at (0.500, 0.500, 0.500).